Version A
Below is a geometry-optimized Cr2NiH structure, with properties calculated at the PBE-GGA level.

Results
Density of states at the Fermi level in states/eV per atom: 0.9273
Crystal system: tetragonal

a = 5.533 Å, b = 5.533 Å, c = 4.933 Å
α = 90.00°, β = 90.00°, γ = 90.00°
Fractional positions:
Cr  0.159  0.250  0.125
Cr  0.250  0.659  0.375
Cr  0.250  0.841  0.875
Cr  0.341  0.250  0.625
Cr  0.659  0.750  0.625
Cr  0.750  0.159  0.875
Cr  0.750  0.341  0.375
Cr  0.841  0.750  0.125
Ni  0.000  0.000  0.500
Ni  0.000  0.500  0.750
Ni  0.500  0.000  0.250
Ni  0.500  0.500  0.000
H  0.000  0.000  0.000
H  0.000  0.500  0.250
H  0.500  0.000  0.750
H  0.500  0.500  0.500

***

Version B
Below is a geometry-optimized Cr2NiH structure, with properties calculated at the PBE-GGA level.

Results
Density of states at the Fermi level in states/eV per atom: 0.9752
Crystal system: trigonal

a = 2.558 Å, b = 2.558 Å, c = 19.159 Å
α = 90.00°, β = 90.00°, γ = 120.00°
Fractional positions:
Cr  0.000  0.000  0.226
Cr  0.000  0.000  0.774
Cr  0.333  0.667  0.440
Cr  0.333  0.667  0.893
Cr  0.667  0.333  0.107
Cr  0.667  0.333  0.560
Ni  0.000  0.000  0.000
Ni  0.333  0.667  0.667
Ni  0.667  0.333  0.333
H  0.000  0.000  0.500
H  0.333  0.667  0.167
H  0.667  0.333  0.833

***

Version C
Below is a geometry-optimized Cr2NiH structure, with properties calculated at the PBE-GGA level.

Results
Density of states at the Fermi level in states/eV per atom: 0.7306
Crystal system: cubic

a = 5.426 Å, b = 5.426 Å, c = 5.426 Å
α = 90.00°, β = 90.00°, γ = 90.00°
Fractional positions:
Cr  0.250  0.250  0.250
Cr  0.250  0.250  0.750
Cr  0.250  0.750  0.250
Cr  0.250  0.750  0.750
Cr  0.750  0.250  0.250
Cr  0.750  0.250  0.750
Cr  0.750  0.750  0.250
Cr  0.750  0.750  0.750
Ni  0.000  0.000  0.000
Ni  0.000  0.500  0.500
Ni  0.500  0.000  0.500
Ni  0.500  0.500  0.000
H  0.000  0.000  0.500
H  0.000  0.500  0.000
H  0.500  0.000  0.000
H  0.500  0.500  0.500

***

In order of decreasing stability: version B, version A, version C.

***

Version A
Below is a geometry-optimized Cr2NiH2 structure, with properties calculated at the PBE-GGA level.

Results
Density of states at the Fermi level in states/eV per atom: 0.7607
Crystal system: tetragonal

a = 3.151 Å, b = 3.151 Å, c = 8.026 Å
α = 90.00°, β = 90.00°, γ = 90.00°
Fractional positions:
Cr  0.000  0.000  0.153
Cr  0.000  0.000  0.847
Cr  0.500  0.500  0.347
Cr  0.500  0.500  0.653
Ni  0.000  0.000  0.500
Ni  0.500  0.500  0.000
H  0.000  0.500  0.250
H  0.000  0.500  0.750
H  0.500  0.000  0.250
H  0.500  0.000  0.750

***

Version B
Below is a geometry-optimized Cr2NiH2 structure, with properties calculated at the PBE-GGA level.

Results
Density of states at the Fermi level in states/eV per atom: 0.7551
Crystal system: tetragonal

a = 5.522 Å, b = 5.522 Å, c = 2.552 Å
α = 90.00°, β = 90.00°, γ = 90.00°
Fractional positions:
Cr  0.139  0.361  0.000
Cr  0.361  0.861  0.000
Cr  0.639  0.139  0.000
Cr  0.861  0.639  0.000
Ni  0.000  0.000  0.500
Ni  0.500  0.500  0.500
H  0.156  0.656  0.500
H  0.344  0.156  0.500
H  0.656  0.844  0.500
H  0.844  0.344  0.500

***

In order of decreasing stability: version A, version B.

***

Version A
Below is a geometry-optimized Cr2NiHOs structure, with properties calculated at the PBE-GGA level.

Results
Density of states at the Fermi level in states/eV per atom: 0.7926
Crystal system: tetragonal

a = 3.718 Å, b = 3.718 Å, c = 3.634 Å
α = 90.00°, β = 90.00°, γ = 90.00°
Fractional positions:
Cr  0.000  0.500  0.000
Cr  0.500  0.000  0.000
Ni  0.000  0.000  0.500
H  0.000  0.000  0.000
Os  0.500  0.500  0.500

***

Version B
Below is a geometry-optimized Cr2NiHOs structure, with properties calculated at the PBE-GGA level.

Results
Density of states at the Fermi level in states/eV per atom: 0.8493
Crystal system: tetragonal

a = 3.686 Å, b = 3.686 Å, c = 3.756 Å
α = 90.00°, β = 90.00°, γ = 90.00°
Fractional positions:
Cr  0.000  0.500  0.000
Cr  0.500  0.000  0.000
Ni  0.000  0.000  0.500
H  0.500  0.500  0.000
Os  0.500  0.500  0.500

***

In order of decreasing stability: version A, version B.

***

Version A
Below is a geometry-optimized CrNi2HPd structure, with properties calculated at the PBE-GGA level.

Results
Density of states at the Fermi level in states/eV per atom: 0.7757
Crystal system: tetragonal

a = 3.729 Å, b = 3.729 Å, c = 3.835 Å
α = 90.00°, β = 90.00°, γ = 90.00°
Fractional positions:
Cr  0.000  0.000  0.000
Ni  0.000  0.500  0.500
Ni  0.500  0.000  0.500
H  0.500  0.500  0.500
Pd  0.500  0.500  0.000

***

Version B
Below is a geometry-optimized CrNi2HPd structure, with properties calculated at the PBE-GGA level.

Results
Density of states at the Fermi level in states/eV per atom: 1.0216
Crystal system: tetragonal

a = 3.695 Å, b = 3.695 Å, c = 3.848 Å
α = 90.00°, β = 90.00°, γ = 90.00°
Fractional positions:
Cr  0.000  0.000  0.000
Ni  0.000  0.500  0.500
Ni  0.500  0.000  0.500
H  0.000  0.000  0.500
Pd  0.500  0.500  0.000

***

In order of decreasing stability: version B, version A.

***

Version A
Below is a geometry-optimized Cr2ReNiH structure, with properties calculated at the PBE-GGA level.

Results
Density of states at the Fermi level in states/eV per atom: 0.9152
Crystal system: tetragonal

a = 3.681 Å, b = 3.681 Å, c = 3.801 Å
α = 90.00°, β = 90.00°, γ = 90.00°
Fractional positions:
Cr  0.000  0.500  0.000
Cr  0.500  0.000  0.000
Re  0.000  0.000  0.500
Ni  0.500  0.500  0.500
H  0.000  0.000  0.000

***

Version B
Below is a geometry-optimized Cr2ReNiH structure, with properties calculated at the PBE-GGA level.

Results
Density of states at the Fermi level in states/eV per atom: 0.7687
Crystal system: tetragonal

a = 3.785 Å, b = 3.785 Å, c = 3.544 Å
α = 90.00°, β = 90.00°, γ = 90.00°
Fractional positions:
Cr  0.000  0.500  0.000
Cr  0.500  0.000  0.000
Re  0.000  0.000  0.500
Ni  0.500  0.500  0.500
H  0.500  0.500  0.000

***

In order of decreasing stability: version B, version A.

***

Version A
Below is a geometry-optimized CrReNi2H structure, with properties calculated at the PBE-GGA level.

Results
Density of states at the Fermi level in states/eV per atom: 1.1217
Crystal system: tetragonal

a = 3.567 Å, b = 3.567 Å, c = 3.927 Å
α = 90.00°, β = 90.00°, γ = 90.00°
Fractional positions:
Cr  0.000  0.000  0.000
Re  0.500  0.500  0.000
Ni  0.000  0.500  0.500
Ni  0.500  0.000  0.500
H  0.000  0.000  0.500

***

Version B
Below is a geometry-optimized CrReNi2H structure, with properties calculated at the PBE-GGA level.

Results
Density of states at the Fermi level in states/eV per atom: 0.8605
Crystal system: tetragonal

a = 3.589 Å, b = 3.589 Å, c = 3.951 Å
α = 90.00°, β = 90.00°, γ = 90.00°
Fractional positions:
Cr  0.000  0.000  0.000
Re  0.500  0.500  0.000
Ni  0.000  0.500  0.500
Ni  0.500  0.000  0.500
H  0.500  0.500  0.500

***

In order of decreasing stability: version A, version B.

***

Version A
Below is a geometry-optimized CrNi2HRh structure, with properties calculated at the PBE-GGA level.

Results
Density of states at the Fermi level in states/eV per atom: 0.9026
Crystal system: tetragonal

a = 3.638 Å, b = 3.638 Å, c = 3.832 Å
α = 90.00°, β = 90.00°, γ = 90.00°
Fractional positions:
Cr  0.000  0.000  0.000
Ni  0.000  0.500  0.500
Ni  0.500  0.000  0.500
H  0.000  0.000  0.500
Rh  0.500  0.500  0.000

***

Version B
Below is a geometry-optimized CrNi2HRh structure, with properties calculated at the PBE-GGA level.

Results
Density of states at the Fermi level in states/eV per atom: 0.8554
Crystal system: tetragonal

a = 3.687 Å, b = 3.687 Å, c = 3.787 Å
α = 90.00°, β = 90.00°, γ = 90.00°
Fractional positions:
Cr  0.000  0.000  0.000
Ni  0.000  0.500  0.500
Ni  0.500  0.000  0.500
H  0.500  0.500  0.500
Rh  0.500  0.500  0.000

***

Version C
Below is a geometry-optimized CrNi2HRh structure, with properties calculated at the PBE-GGA level.

Results
Density of states at the Fermi level in states/eV per atom: 1.4031
Crystal system: tetragonal

a = 4.446 Å, b = 4.446 Å, c = 2.980 Å
α = 90.00°, β = 90.00°, γ = 90.00°
Fractional positions:
Cr  0.000  0.000  0.000
Ni  0.000  0.500  0.000
Ni  0.500  0.000  0.000
H  0.000  0.000  0.500
Rh  0.500  0.500  0.500

***

In order of decreasing stability: version B, version A, version C.

***

Version A
Below is a geometry-optimized Cr2NiHRh structure, with properties calculated at the PBE-GGA level.

Results
Density of states at the Fermi level in states/eV per atom: 1.0062
Crystal system: tetragonal

a = 3.672 Å, b = 3.672 Å, c = 3.741 Å
α = 90.00°, β = 90.00°, γ = 90.00°
Fractional positions:
Cr  0.000  0.500  0.000
Cr  0.500  0.000  0.000
Ni  0.000  0.000  0.500
H  0.000  0.000  0.000
Rh  0.500  0.500  0.500

***

Version B
Below is a geometry-optimized Cr2NiHRh structure, with properties calculated at the PBE-GGA level.

Results
Density of states at the Fermi level in states/eV per atom: 1.1459
Crystal system: tetragonal

a = 3.641 Å, b = 3.641 Å, c = 3.829 Å
α = 90.00°, β = 90.00°, γ = 90.00°
Fractional positions:
Cr  0.000  0.500  0.000
Cr  0.500  0.000  0.000
Ni  0.000  0.000  0.500
H  0.500  0.500  0.000
Rh  0.500  0.500  0.500

***

In order of decreasing stability: version A, version B.